[1]
A PBEsol-optimized structure of BaTiO3, computed with meta-GGA SCAN.

Lattice parameters (Å, degrees): 3.986 3.986 3.986 90.00 90.00 90.00
Space group Pm-3m (No. 221)
Inequivalent atoms, fractional coordinates:
Ba: 0.000 0.000 0.000 x1
Ti: 0.500 0.500 0.500 x1
O: 0.000 0.500 0.500 x3

## Properties
- uncorrected formation energy (kJ/mol of atoms) = -326
- V (A^3/atom) = 12.664
- mass density (g/cm³) = 6.12


[2]
A PBEsol-optimized structure of BaTi4O9, computed with meta-GGA SCAN.

Lattice parameters (Å, degrees): 3.784 14.538 6.307 90.00 90.00 90.00
Space group Pmmn (No. 59, origin choice 2)
Inequivalent atoms, fractional coordinates:
Ba: 0.250 0.250 0.212 x2
Ti: 0.250 0.538 0.693 x4
Ti: 0.250 0.628 0.247 x4
O: 0.250 0.010 0.350 x4
O: 0.250 0.100 0.759 x4
O: 0.250 0.595 0.939 x4
O: 0.250 0.652 0.544 x4
O: 0.250 0.750 0.159 x2

## Properties
- uncorrected formation energy (kJ/mol of atoms) = -325
- V (A^3/atom) = 12.390
- mass density (g/cm³) = 4.53


[3]
A PBEsol-optimized structure of Ba3TiO5, computed with meta-GGA SCAN.

Lattice parameters (Å, degrees): 7.278 7.278 11.852 90.00 90.00 90.00
Space group I4/mcm (No. 140)
Inequivalent atoms, fractional coordinates:
Ba: 0.000 0.000 0.250 x4
Ba: 0.178 0.322 0.000 x8
Ti: 0.000 0.500 0.250 x4
O: 0.000 0.000 0.000 x4
O: 0.140 0.360 0.343 x16

## Properties
- uncorrected formation energy (kJ/mol of atoms) = -304
- V (A^3/atom) = 17.437
- mass density (g/cm³) = 5.71


[4]
A PBEsol-optimized structure of BaTi6O11, computed with meta-GGA SCAN.

Lattice parameters (Å, degrees): 11.573 9.990 14.119 90.00 90.00 90.00
Space group Cmc2_1 (No. 36)
Inequivalent atoms, fractional coordinates:
Ba: 0.000 0.082 0.000 x4
Ba: 0.000 0.402 0.829 x4
Ti: 0.000 0.257 0.429 x4
Ti: 0.000 0.420 0.087 x4
Ti: 0.125 0.321 0.600 x8
Ti: 0.126 0.172 0.243 x8
Ti: 0.236 0.077 0.777 x8
Ti: 0.248 0.254 0.928 x8
Ti: 0.249 0.427 0.078 x8
O: 0.000 0.117 0.326 x4
O: 0.000 0.250 0.167 x4
O: 0.000 0.259 0.670 x4
O: 0.000 0.415 0.513 x4
O: 0.122 0.159 0.505 x8
O: 0.123 0.341 0.004 x8
O: 0.127 0.499 0.670 x8
O: 0.131 0.165 0.849 x8
O: 0.131 0.337 0.341 x8
O: 0.142 0.012 0.176 x8
O: 0.245 0.096 0.334 x8
O: 0.247 0.400 0.513 x8
O: 0.250 0.226 0.675 x8

## Properties
- uncorrected formation energy (kJ/mol of atoms) = -315
- V (A^3/atom) = 11.336
- mass density (g/cm³) = 4.89